Material: Tm2AsPd
Method: DFT, GGA-PBE
State: relaxed

energy of formation from the pure elements: -1.034 eV/atom
crystal system: trigonal
SG: R-3m, No. 166

Lattice parameters (Å, degrees): 4.0268 4.0268 7.1255 73.59 73.59 60.00
Last column: nearest neighbours and their distance in Å.
Fractional coordinates of all 4 atoms:
As 0.0000 0.0000 0.0000  6 Tm 2.87
Pd 0.5000 0.5000 0.5000  6 Tm 2.87
Tm 0.2499 0.2499 0.2503  3 Pd 2.87, 3 As 2.87
Tm 0.7501 0.7501 0.7497  3 Pd 2.87, 3 As 2.87

Material: TmAsPd2
Method: DFT, GGA-PBE
State: relaxed

energy of formation from the pure elements: -0.908 eV/atom
crystal system: orthorhombic
SG: Cmcm, No. 63

Lattice parameters (Å, degrees): 4.0113 5.4384 7.1724 90.00 90.00 111.64
Last column: nearest neighbours and their distance in Å.
Fractional coordinates of all 8 atoms:
Pd 0.6365 0.2720 0.4462  3 As 2.55-2.64, 1 Pd 2.81
Pd 0.3635 0.7280 0.5538  3 As 2.55-2.64, 1 Pd 2.81
Pd 0.6365 0.2720 0.0538  3 As 2.55-2.64, 1 Pd 2.81
Pd 0.3635 0.7280 0.9462  3 As 2.55-2.64, 1 Pd 2.81
Tm 0.9475 0.8951 0.2500  3 As 2.90-2.95, 8 Pd 3.08-3.11
Tm 0.0525 0.1049 0.7500  3 As 2.90-2.95, 8 Pd 3.08-3.11
As 0.7659 0.5322 0.7500  6 Pd 2.55-2.64
As 0.2341 0.4678 0.2500  6 Pd 2.55-2.64

Material: TmAs2Pd3
Method: DFT, GGA-PBE
State: relaxed

energy of formation from the pure elements: -0.749 eV/atom
crystal system: monoclinic
SG: C2/m, No. 12

Lattice parameters (Å, degrees): 4.0327 8.6192 10.0529 107.20 90.00 103.53
Last column: nearest neighbours and their distance in Å.
Fractional coordinates of all 18 atoms:
Pd 0.3185 0.6370 0.0377  4 As 2.45-2.59
Pd 0.6144 0.2288 0.1870  4 As 2.58-2.73, 1 Pd 2.81
Pd 0.6815 0.3630 0.9623  4 As 2.45-2.59
Pd 0.2234 0.4467 0.3847  4 As 2.42-2.70
Pd 0.0417 0.0835 0.3271  4 As 2.53-2.64
Pd 0.9583 0.9165 0.6729  4 As 2.53-2.64
Pd 0.7766 0.5533 0.6153  4 As 2.42-2.70
Pd 0.5000 0.0000 0.5000  4 As 2.47-2.75
Pd 0.3856 0.7712 0.8130  4 As 2.58-2.73, 1 Pd 2.81
As 0.5428 0.0856 0.7869  4 Pd 2.45-2.73
As 0.8026 0.6051 0.8696  6 Pd 2.46-2.61
As 0.3636 0.7272 0.5473  7 Pd 2.42-2.70
As 0.6364 0.2728 0.4527  7 Pd 2.42-2.70
As 0.1974 0.3949 0.1304  6 Pd 2.46-2.61
As 0.4572 0.9144 0.2131  4 Pd 2.45-2.73
Tm 0.0000 0.0000 0.0000  6 Pd 3.01-3.15, 6 As 3.17-3.18
Tm 0.8508 0.7015 0.3089  6 As 3.04-3.33, 7 Pd 3.15-3.33
Tm 0.1492 0.2985 0.6911  6 As 3.04-3.33, 7 Pd 3.15-3.33

Material: TmAs2Pd6
Method: DFT, GGA-PBE
State: relaxed

energy of formation from the pure elements: -0.504 eV/atom
crystal system: orthorhombic
SG: Immm, No. 71

Lattice parameters (Å, degrees): 4.2671 6.7338 6.7338 65.19 71.56 71.56
Last column: nearest neighbours and their distance in Å.
Fractional coordinates of all 9 atoms:
Pd 0.5000 0.2888 0.7112  2 As 2.59, 4 Pd 2.81
Pd 0.1737 0.1282 0.5245  3 As 2.57-2.59, 5 Pd 2.77-2.87, 1 Tm 2.85
Pd 0.1737 0.5245 0.1282  3 As 2.57-2.59, 5 Pd 2.77-2.87, 1 Tm 2.85
Pd 0.8263 0.4755 0.8718  3 As 2.57-2.59, 5 Pd 2.77-2.87, 1 Tm 2.85
Pd 0.5000 0.7112 0.2888  2 As 2.59, 4 Pd 2.81
Pd 0.8263 0.8718 0.4755  3 As 2.57-2.59, 5 Pd 2.77-2.87, 1 Tm 2.85
Tm 0.0000 0.0000 0.0000  8 Pd 2.85-2.99, 2 As 3.17
As 0.6987 0.3012 0.3012  8 Pd 2.57-2.59
As 0.3013 0.6988 0.6988  8 Pd 2.57-2.59

Material: Tm2As6Pd21
Method: DFT, GGA-PBE
State: relaxed

energy of formation from the pure elements: -0.512 eV/atom
crystal system: cubic
SG: Fm-3m, No. 225

Lattice parameters (Å, degrees): 8.8150 8.8150 8.8150 60.00 60.00 60.00
Last column: nearest neighbours and their distance in Å.
Fractional coordinates of all 29 atoms:
Pd 0.3484 0.6516 0.0000  2 As 2.43, 1 Pd 2.67
Pd 0.0000 0.0000 0.3484  2 As 2.43, 1 Pd 2.67
Pd 0.6516 0.0000 0.0000  2 As 2.43, 1 Pd 2.67
Pd 0.3818 0.8545 0.3818  3 As 2.56, 1 Tm 2.85
Pd 0.8545 0.3818 0.3818  3 As 2.56, 1 Tm 2.85
Pd 0.3484 0.0000 0.6516  2 As 2.43, 1 Pd 2.67
Pd 0.0000 0.3484 0.0000  2 As 2.43, 1 Pd 2.67
Pd 0.0000 0.6516 0.0000  2 As 2.43, 1 Pd 2.67
Pd 0.0000 0.3484 0.6516  2 As 2.43, 1 Pd 2.67
Pd 0.3818 0.3818 0.3818  3 As 2.56, 1 Tm 2.85
Pd 0.0000 0.0000 0.6516  2 As 2.43, 1 Pd 2.67
Pd 0.6182 0.6182 0.6182  3 As 2.56, 1 Tm 2.85
Pd 0.6182 0.1455 0.6182  3 As 2.56, 1 Tm 2.85
Pd 0.6516 0.3484 0.0000  2 As 2.43, 1 Pd 2.67
Pd 0.1455 0.6182 0.6182  3 As 2.56, 1 Tm 2.85
Pd 0.6516 0.0000 0.3484  2 As 2.43, 1 Pd 2.67
Pd 0.0000 0.6516 0.3484  2 As 2.43, 1 Pd 2.67
Pd 0.3484 0.0000 0.0000  2 As 2.43, 1 Pd 2.67
Pd 0.3818 0.3818 0.8545  3 As 2.56, 1 Tm 2.85
Pd 0.6182 0.6182 0.1455  3 As 2.56, 1 Tm 2.85
Pd 0.0000 0.0000 0.0000  12 Pd 3.07, 6 As 3.27
As 0.7377 0.2623 0.2623  8 Pd 2.43-2.56
As 0.2623 0.2623 0.7377  8 Pd 2.43-2.56
As 0.7377 0.7377 0.2623  8 Pd 2.43-2.56
As 0.2623 0.7377 0.2623  8 Pd 2.43-2.56
As 0.2623 0.7377 0.7377  8 Pd 2.43-2.56
As 0.7377 0.2623 0.7377  8 Pd 2.43-2.56
Tm 0.2500 0.2500 0.2500  4 Pd 2.85
Tm 0.7500 0.7500 0.7500  4 Pd 2.85

Material: U3As4Pd4
Method: DFT, GGA-PBE
State: relaxed

energy of formation from the pure elements: -0.527 eV/atom
crystal system: orthorhombic
SG: Amm2, No. 38

Lattice parameters (Å, degrees): 3.9747 6.5708 8.3491 90.00 90.00 107.60
Last column: nearest neighbours and their distance in Å.
Fractional coordinates of all 11 atoms:
Pd 0.6016 0.2032 0.5000  4 As 2.56-2.75
Pd 0.0854 0.1708 0.2512  4 As 2.63-2.68, 4 Pd 2.88-2.90
Pd 0.5997 0.1993 0.0000  4 As 2.64-2.66, 4 Pd 2.90
Pd 0.0854 0.1708 0.7488  4 As 2.63-2.68, 4 Pd 2.88-2.90
U 0.3928 0.7855 0.2540  1 U 2.52
U 0.3928 0.7855 0.7460  1 U 2.52
U 0.2839 0.5678 0.0000  2 U 2.52
As 0.9583 0.9165 0.0000  4 Pd 2.63-2.66
As 0.7244 0.4489 0.2545  4 Pd 2.56-2.64
As 0.7244 0.4489 0.7455  4 Pd 2.56-2.64
As 0.9498 0.8996 0.5000  4 Pd 2.68-2.75, 4 U 2.95

no.,mass density (g cm⁻³),spin magnetization (μB per atom),E_tot (eV/f.u.)
1,9.1,0.0000,-22.921
2,10.4,0.0000,-23.139
3,9.8,0.0000,-33.842
4,9.8,0.0000,-49.467
5,10.4,0.0000,-160.727
6,11.5,0.0001,-79.030